P.
## Ca2YH (GGA-PBE)

Data for a relaxed structure of Ca2YH.

Values from the calculation:
Total moment = 0.22 μB per atom
Space-group type = R-3m
ρ = 2.575 Mg/m³

Cell lengths 3.5910, 3.5910, 29.4634 Å; angles 90.00, 90.00, 120.00 degrees
Closest atoms and distances in Å follow each position.
Element x y z (fractional)
1 Ca 0.0000 0.0000 0.1162  3 H 2.55
2 Ca 0.0000 0.0000 0.8838  3 H 2.55
3 Ca 0.3333 0.6667 0.5505  3 H 2.55
4 Ca 0.3333 0.6667 0.7829  3 H 2.55
5 Ca 0.6667 0.3333 0.2171  3 H 2.55
6 Ca 0.6667 0.3333 0.4495  3 H 2.55
7 Y 0.0000 0.0000 0.0000  2 Ca 3.42, 6 Y 3.59
8 Y 0.3333 0.6667 0.6667  2 Ca 3.42, 6 Y 3.59
9 Y 0.6667 0.3333 0.3333  2 Ca 3.42, 6 Y 3.59
10 H 0.0000 0.0000 0.5000  6 Ca 2.55
11 H 0.3333 0.6667 0.1667  6 Ca 2.55
12 H 0.6667 0.3333 0.8333  6 Ca 2.55

---

Q.
## Ca2YH (GGA-PBE)

Data for a relaxed structure of Ca2YH.

Values from the calculation:
Total moment = 0.21 μB per atom
Space-group type = I-42d
ρ = 2.397 Mg/m³

Cell lengths 7.0367, 7.0367, 9.5179 Å; angles 90.00, 90.00, 90.00 degrees
Closest atoms and distances in Å follow each position.
Element x y z (fractional)
1 Ca 0.0615 0.2500 0.1250  2 H 2.17
2 Ca 0.2500 0.5615 0.3750  2 H 2.17
3 Ca 0.2500 0.9385 0.8750  2 H 2.17
4 Ca 0.4385 0.2500 0.6250  2 H 2.17
5 Ca 0.5615 0.7500 0.6250  2 H 2.17
6 Ca 0.7500 0.0615 0.8750  2 H 2.17
7 Ca 0.7500 0.4385 0.3750  2 H 2.17
8 Ca 0.9385 0.7500 0.1250  2 H 2.17
9 Y 0.0000 0.0000 0.5000  8 Ca 3.75-4.00
10 Y 0.0000 0.5000 0.7500  8 Ca 3.75-4.00
11 Y 0.5000 0.0000 0.2500  8 Ca 3.75-4.00
12 Y 0.5000 0.5000 0.0000  8 Ca 3.75-4.00
13 H 0.0000 0.0000 0.0000  4 Ca 2.17
14 H 0.0000 0.5000 0.2500  4 Ca 2.17
15 H 0.5000 0.0000 0.7500  4 Ca 2.17
16 H 0.5000 0.5000 0.5000  4 Ca 2.17

---

According to the calculations, the structures order from most to least stable as Q, P.

---

P.
## Ca2YH2 (GGA-PBE)

Data for a relaxed structure of Ca2YH2.

Values from the calculation:
Total moment = 0.00 μB per atom
Space-group type = I4/mmm
ρ = 2.455 Mg/m³

Cell lengths 3.6705, 3.6705, 17.1794 Å; angles 90.00, 90.00, 90.00 degrees
Closest atoms and distances in Å follow each position.
Element x y z (fractional)
1 Ca 0.0000 0.0000 0.1727  4 H 2.27
2 Ca 0.0000 0.0000 0.8273  4 H 2.27
3 Ca 0.5000 0.5000 0.3273  4 H 2.27
4 Ca 0.5000 0.5000 0.6727  4 H 2.27
5 Y 0.0000 0.0000 0.5000  4 Y 3.67, 8 Ca 3.94
6 Y 0.5000 0.5000 0.0000  4 Y 3.67, 8 Ca 3.94
7 H 0.0000 0.5000 0.2500  4 Ca 2.27
8 H 0.0000 0.5000 0.7500  4 Ca 2.27
9 H 0.5000 0.0000 0.2500  4 Ca 2.27
10 H 0.5000 0.0000 0.7500  4 Ca 2.27

---

Q.
## Ca2YH2 (GGA-PBE)

Data for a relaxed structure of Ca2YH2.

Values from the calculation:
Total moment = 0.10 μB per atom
Space-group type = P4/mbm
ρ = 2.232 Mg/m³

Cell lengths 8.9978, 8.9978, 3.1438 Å; angles 90.00, 90.00, 90.00 degrees
Closest atoms and distances in Å follow each position.
Element x y z (fractional)
1 Ca 0.1184 0.3816 0.0000  4 H 2.42
2 Ca 0.3816 0.8816 0.0000  4 H 2.42
3 Ca 0.6184 0.1184 0.0000  4 H 2.42
4 Ca 0.8816 0.6184 0.0000  4 H 2.42
5 Y 0.0000 0.0000 0.0000  2 Y 3.14
6 Y 0.5000 0.5000 0.0000  2 Y 3.14
7 H 0.0825 0.5825 0.5000  1 H 2.10
8 H 0.4175 0.0825 0.5000  1 H 2.10
9 H 0.5825 0.9175 0.5000  1 H 2.10
10 H 0.9175 0.4175 0.5000  1 H 2.10

---

According to the calculations, the structures order from most to least stable as P, Q.

---

P.
## Ca2ZnH (GGA-PBE)

Data for a relaxed structure of Ca2ZnH.

Values from the calculation:
Total moment = 0.00 μB per atom
Space-group type = R3m
ρ = 2.698 Mg/m³

Cell lengths 3.7289, 3.7289, 22.4753 Å; angles 90.00, 90.00, 120.00 degrees
Closest atoms and distances in Å follow each position.
Element x y z (fractional)
1 Ca 0.0000 0.0000 0.0000  3 H 2.61
2 Ca 0.0000 0.0000 0.1979  3 H 2.66
3 Ca 0.3333 0.6667 0.6667  3 H 2.61
4 Ca 0.3333 0.6667 0.8646  3 H 2.66
5 Ca 0.6667 0.3333 0.3333  3 H 2.61
6 Ca 0.6667 0.3333 0.5313  3 H 2.66
7 Zn 0.0000 0.0000 0.4316  6 Ca 3.08-3.11
8 Zn 0.3333 0.6667 0.0983  6 Ca 3.08-3.11
9 Zn 0.6667 0.3333 0.7650  6 Ca 3.08-3.11
10 H 0.0000 0.0000 0.6009  6 Ca 2.61-2.66
11 H 0.3333 0.6667 0.2676  6 Ca 2.61-2.66
12 H 0.6667 0.3333 0.9343  6 Ca 2.61-2.66

---

Q.
## Ca2ZnH (GGA-PBE)

Data for a relaxed structure of Ca2ZnH.

Values from the calculation:
Total moment = 0.00 μB per atom
Space-group type = R-3m
ρ = 2.338 Mg/m³

Cell lengths 3.6475, 3.6475, 27.1073 Å; angles 90.00, 90.00, 120.00 degrees
Closest atoms and distances in Å follow each position.
Element x y z (fractional)
1 Ca 0.0000 0.0000 0.1134  3 H 2.55
2 Ca 0.0000 0.0000 0.8866  3 H 2.55
3 Ca 0.3333 0.6667 0.5533  3 H 2.55
4 Ca 0.3333 0.6667 0.7801  3 H 2.55
5 Ca 0.6667 0.3333 0.2199  3 H 2.55
6 Ca 0.6667 0.3333 0.4467  3 H 2.55
7 Zn 0.0000 0.0000 0.0000  2 Ca 3.07
8 Zn 0.3333 0.6667 0.6667  2 Ca 3.07
9 Zn 0.6667 0.3333 0.3333  2 Ca 3.07
10 H 0.0000 0.0000 0.5000  6 Ca 2.55
11 H 0.3333 0.6667 0.1667  6 Ca 2.55
12 H 0.6667 0.3333 0.8333  6 Ca 2.55

---

R.
## Ca2ZnH (GGA-PBE)

Data for a relaxed structure of Ca2ZnH.

Values from the calculation:
Total moment = 0.00 μB per atom
Space-group type = Fm-3m
ρ = 2.656 Mg/m³

Cell lengths 7.1569, 7.1569, 7.1569 Å; angles 90.00, 90.00, 90.00 degrees
Closest atoms and distances in Å follow each position.
Element x y z (fractional)
1 Ca 0.2500 0.2500 0.2500  4 H 3.10, 4 Zn 3.10
2 Ca 0.2500 0.2500 0.7500  4 H 3.10, 4 Zn 3.10
3 Ca 0.2500 0.7500 0.2500  4 H 3.10, 4 Zn 3.10
4 Ca 0.2500 0.7500 0.7500  4 H 3.10, 4 Zn 3.10
5 Ca 0.7500 0.2500 0.2500  4 H 3.10, 4 Zn 3.10
6 Ca 0.7500 0.2500 0.7500  4 H 3.10, 4 Zn 3.10
7 Ca 0.7500 0.7500 0.2500  4 H 3.10, 4 Zn 3.10
8 Ca 0.7500 0.7500 0.7500  4 H 3.10, 4 Zn 3.10
9 Zn 0.0000 0.0000 0.0000  8 Ca 3.10
10 Zn 0.0000 0.5000 0.5000  8 Ca 3.10
11 Zn 0.5000 0.0000 0.5000  8 Ca 3.10
12 Zn 0.5000 0.5000 0.0000  8 Ca 3.10
13 H 0.0000 0.0000 0.5000  8 Ca 3.10
14 H 0.0000 0.5000 0.0000  8 Ca 3.10
15 H 0.5000 0.0000 0.0000  8 Ca 3.10
16 H 0.5000 0.5000 0.5000  8 Ca 3.10

---

According to the calculations, the structures order from most to least stable as P, R, Q.

---

P.
## Ca2ZnH (GGA-PBE)

Data for a relaxed structure of Ca2ZnH.

Values from the calculation:
Total moment = 0.00 μB per atom
Space-group type = P4/mmm
ρ = 2.857 Mg/m³

Cell lengths 3.3672, 3.3672, 7.5146 Å; angles 90.00, 90.00, 90.00 degrees
Closest atoms and distances in Å follow each position.
Element x y z (fractional)
1 Ca 0.0000 0.0000 0.2349  4 H 2.96, 4 Zn 3.10
2 Ca 0.0000 0.0000 0.7651  4 H 2.96, 4 Zn 3.10
3 Zn 0.5000 0.5000 0.5000  8 Ca 3.10, 4 Zn 3.37
4 H 0.5000 0.5000 0.0000  8 Ca 2.96

---

Q.
## Ca2ZnH (GGA-PBE)

Data for a relaxed structure of Ca2ZnH.

Values from the calculation:
Total moment = 0.00 μB per atom
Space-group type = I-42d
ρ = 2.615 Mg/m³

Cell lengths 6.8862, 6.8862, 7.8502 Å; angles 90.00, 90.00, 90.00 degrees
Closest atoms and distances in Å follow each position.
Element x y z (fractional)
1 Ca 0.1631 0.2500 0.1250  2 H 2.28
2 Ca 0.2500 0.6631 0.3750  2 H 2.28
3 Ca 0.2500 0.8369 0.8750  2 H 2.28
4 Ca 0.3369 0.2500 0.6250  2 H 2.28
5 Ca 0.6631 0.7500 0.6250  2 H 2.28
6 Ca 0.7500 0.1631 0.8750  2 H 2.28
7 Ca 0.7500 0.3369 0.3750  2 H 2.28
8 Ca 0.8369 0.7500 0.1250  2 H 2.28
9 Zn 0.0000 0.0000 0.5000  4 Ca 3.05
10 Zn 0.0000 0.5000 0.7500  4 Ca 3.05
11 Zn 0.5000 0.0000 0.2500  4 Ca 3.05
12 Zn 0.5000 0.5000 0.0000  4 Ca 3.05
13 H 0.0000 0.0000 0.0000  4 Ca 2.28
14 H 0.0000 0.5000 0.2500  4 Ca 2.28
15 H 0.5000 0.0000 0.7500  4 Ca 2.28
16 H 0.5000 0.5000 0.5000  4 Ca 2.28

---

According to the calculations, the structures order from most to least stable as Q, P.

---

P.
## CaZnH2 (GGA-PBE)

Data for a relaxed structure of CaZnH2.

Values from the calculation:
Total moment = 0.00 μB per atom
Space-group type = Fm-3m
ρ = 3.496 Mg/m³

Cell lengths 5.8889, 5.8889, 5.8889 Å; angles 90.00, 90.00, 90.00 degrees
Closest atoms and distances in Å follow each position.
Element x y z (fractional)
1 Ca 0.0000 0.0000 0.0000  8 H 2.55
2 Ca 0.0000 0.5000 0.5000  8 H 2.55
3 Ca 0.5000 0.0000 0.5000  8 H 2.55
4 Ca 0.5000 0.5000 0.0000  8 H 2.55
5 Zn 0.0000 0.0000 0.5000  8 H 2.55
6 Zn 0.0000 0.5000 0.0000  8 H 2.55
7 Zn 0.5000 0.0000 0.0000  8 H 2.55
8 Zn 0.5000 0.5000 0.5000  8 H 2.55
9 H 0.2500 0.2500 0.2500  4 Zn 2.55, 4 Ca 2.55
10 H 0.2500 0.2500 0.7500  4 Ca 2.55, 4 Zn 2.55
11 H 0.2500 0.7500 0.2500  4 Ca 2.55, 4 Zn 2.55
12 H 0.2500 0.7500 0.7500  4 Ca 2.55, 4 Zn 2.55
13 H 0.7500 0.2500 0.2500  4 Ca 2.55, 4 Zn 2.55
14 H 0.7500 0.2500 0.7500  4 Ca 2.55, 4 Zn 2.55
15 H 0.7500 0.7500 0.2500  4 Ca 2.55, 4 Zn 2.55
16 H 0.7500 0.7500 0.7500  4 Ca 2.55, 4 Zn 2.55

---

Q.
## CaZnH2 (GGA-PBE)

Data for a relaxed structure of CaZnH2.

Values from the calculation:
Total moment = 0.00 μB per atom
Space-group type = I-42d
ρ = 3.232 Mg/m³

Cell lengths 4.4330, 4.4330, 11.2416 Å; angles 90.00, 90.00, 90.00 degrees
Closest atoms and distances in Å follow each position.
Element x y z (fractional)
1 Ca 0.0000 0.0000 0.0000  4 H 2.37
2 Ca 0.0000 0.5000 0.2500  4 H 2.37
3 Ca 0.5000 0.0000 0.7500  4 H 2.37
4 Ca 0.5000 0.5000 0.5000  4 H 2.37
5 Zn 0.0000 0.0000 0.5000  4 H 1.91
6 Zn 0.0000 0.5000 0.7500  4 H 1.91
7 Zn 0.5000 0.0000 0.2500  4 H 1.91
8 Zn 0.5000 0.5000 0.0000  4 H 1.91
9 H 0.1507 0.2500 0.6250  2 Zn 1.91
10 H 0.2500 0.6507 0.8750  2 Zn 1.91
11 H 0.2500 0.8493 0.3750  2 Zn 1.91
12 H 0.3493 0.2500 0.1250  2 Zn 1.91
13 H 0.6507 0.7500 0.1250  2 Zn 1.91
14 H 0.7500 0.1507 0.3750  2 Zn 1.91
15 H 0.7500 0.3493 0.8750  2 Zn 1.91
16 H 0.8493 0.7500 0.6250  2 Zn 1.91

---

According to the calculations, the structures order from most to least stable as P, Q.

---

P.
## Ca2ZnH2 (GGA-PBE)

Data for a relaxed structure of Ca2ZnH2.

Values from the calculation:
Total moment = 0.00 μB per atom
Space-group type = P4/mbm
ρ = 2.968 Mg/m³

Cell lengths 7.1324, 7.1324, 3.2462 Å; angles 90.00, 90.00, 90.00 degrees
Closest atoms and distances in Å follow each position.
Element x y z (fractional)
1 Ca 0.1795 0.3205 0.0000  6 H 2.55-2.74
2 Ca 0.3205 0.8205 0.0000  6 H 2.55-2.74
3 Ca 0.6795 0.1795 0.0000  6 H 2.55-2.74
4 Ca 0.8205 0.6795 0.0000  6 H 2.55-2.74
5 Zn 0.0000 0.0000 0.5000  4 H 2.82, 8 Ca 3.08
6 Zn 0.5000 0.5000 0.5000  4 H 2.82, 8 Ca 3.08
7 H 0.1256 0.6256 0.5000  1 H 2.53, 6 Ca 2.55-2.74, 2 Zn 2.82
8 H 0.3744 0.1256 0.5000  1 H 2.53, 6 Ca 2.55-2.74, 2 Zn 2.82
9 H 0.6256 0.8744 0.5000  1 H 2.53, 6 Ca 2.55-2.74, 2 Zn 2.82
10 H 0.8744 0.3744 0.5000  1 H 2.53, 6 Ca 2.55-2.74, 2 Zn 2.82

---

Q.
## Ca2ZnH2 (GGA-PBE)

Data for a relaxed structure of Ca2ZnH2.

Values from the calculation:
Total moment = 0.00 μB per atom
Space-group type = I4/mmm
ρ = 2.710 Mg/m³

Cell lengths 3.7966, 3.7966, 12.5456 Å; angles 90.00, 90.00, 90.00 degrees
Closest atoms and distances in Å follow each position.
Element x y z (fractional)
1 Ca 0.0000 0.0000 0.1498  4 H 2.28
2 Ca 0.0000 0.0000 0.8502  4 H 2.28
3 Ca 0.5000 0.5000 0.3502  4 H 2.28
4 Ca 0.5000 0.5000 0.6498  4 H 2.28
5 Zn 0.0000 0.0000 0.5000  8 Ca 3.28, 8 H 3.67
6 Zn 0.5000 0.5000 0.0000  8 Ca 3.28, 8 H 3.67
7 H 0.0000 0.5000 0.2500  4 Ca 2.28
8 H 0.0000 0.5000 0.7500  4 Ca 2.28
9 H 0.5000 0.0000 0.2500  4 Ca 2.28
10 H 0.5000 0.0000 0.7500  4 Ca 2.28

---

According to the calculations, the structures order from most to least stable as Q, P.

---

P.
## Ca2Zn2H (GGA-PBE)

Data for a relaxed structure of Ca2Zn2H.

Values from the calculation:
Total moment = 0.00 μB per atom
Space-group type = I4/mmm
ρ = 2.989 Mg/m³

Cell lengths 5.9269, 5.9269, 6.7048 Å; angles 90.00, 90.00, 90.00 degrees
Closest atoms and distances in Å follow each position.
Element x y z (fractional)
1 Ca 0.0000 0.5000 0.2500  4 Zn 3.00, 2 Ca 3.35
2 Ca 0.0000 0.5000 0.7500  4 Zn 3.00, 2 Ca 3.35
3 Ca 0.5000 0.0000 0.2500  4 Zn 3.00, 2 Ca 3.35
4 Ca 0.5000 0.0000 0.7500  4 Zn 3.00, 2 Ca 3.35
5 Zn 0.0000 0.0000 0.1819  1 H 2.13
6 Zn 0.0000 0.0000 0.8181  1 H 2.13
7 Zn 0.5000 0.5000 0.3181  1 H 2.13
8 Zn 0.5000 0.5000 0.6819  1 H 2.13
9 H 0.0000 0.0000 0.5000  2 Zn 2.13
10 H 0.5000 0.5000 0.0000  2 Zn 2.13

---

Q.
## Ca2Zn2H (GGA-PBE)

Data for a relaxed structure of Ca2Zn2H.

Values from the calculation:
Total moment = 0.00 μB per atom
Space-group type = P4/mbm
ρ = 2.903 Mg/m³

Cell lengths 7.6694, 7.6694, 4.1225 Å; angles 90.00, 90.00, 90.00 degrees
Closest atoms and distances in Å follow each position.
Element x y z (fractional)
1 Ca 0.1767 0.3233 0.0000  6 Zn 3.02-3.10
2 Ca 0.3233 0.8233 0.0000  6 Zn 3.02-3.10
3 Ca 0.6767 0.1767 0.0000  6 Zn 3.02-3.10
4 Ca 0.8233 0.6767 0.0000  6 Zn 3.02-3.10
5 Zn 0.1197 0.6197 0.5000  1 Zn 2.60
6 Zn 0.3803 0.1197 0.5000  1 Zn 2.60
7 Zn 0.6197 0.8803 0.5000  1 Zn 2.60
8 Zn 0.8803 0.3803 0.5000  1 Zn 2.60
9 H 0.0000 0.0000 0.5000  4 Zn 3.06
10 H 0.5000 0.5000 0.5000  4 Zn 3.06

---

According to the calculations, the structures order from most to least stable as Q, P.

---

P.
## CaZn2H2 (GGA-PBE)

Data for a relaxed structure of CaZn2H2.

Values from the calculation:
Total moment = 0.00 μB per atom
Space-group type = P4/mbm
ρ = 4.048 Mg/m³

Cell lengths 5.8297, 5.8297, 4.1736 Å; angles 90.00, 90.00, 90.00 degrees
Closest atoms and distances in Å follow each position.
Element x y z (fractional)
1 Ca 0.0000 0.0000 0.0000  4 H 2.20
2 Ca 0.5000 0.5000 0.0000  4 H 2.20
3 Zn 0.1593 0.3407 0.5000  2 H 2.09
4 Zn 0.3407 0.8407 0.5000  2 H 2.09
5 Zn 0.6593 0.1593 0.5000  2 H 2.09
6 Zn 0.8407 0.6593 0.5000  2 H 2.09
7 H 0.1578 0.3422 0.0000  2 Zn 2.09, 2 Ca 2.20
8 H 0.3422 0.8422 0.0000  2 Zn 2.09, 2 Ca 2.20
9 H 0.6578 0.1578 0.0000  2 Zn 2.09, 2 Ca 2.20
10 H 0.8422 0.6578 0.0000  2 Zn 2.09, 2 Ca 2.20

---

Q.
## CaZn2H2 (GGA-PBE)

Data for a relaxed structure of CaZn2H2.

Values from the calculation:
Total moment = 0.00 μB per atom
Space-group type = I4/mmm
ρ = 4.130 Mg/m³

Cell lengths 4.0188, 4.0188, 8.6099 Å; angles 90.00, 90.00, 90.00 degrees
Closest atoms and distances in Å follow each position.
Element x y z (fractional)
1 Ca 0.0000 0.0000 0.0000  8 H 2.94, 10 Zn 2.99-3.13
2 Ca 0.5000 0.5000 0.5000  8 H 2.94, 10 Zn 2.99-3.13
3 Zn 0.0000 0.0000 0.3470  4 H 2.18
4 Zn 0.0000 0.0000 0.6530  4 H 2.18
5 Zn 0.5000 0.5000 0.1530  4 H 2.18
6 Zn 0.5000 0.5000 0.8470  4 H 2.18
7 H 0.0000 0.5000 0.2500  4 Zn 2.18
8 H 0.0000 0.5000 0.7500  4 Zn 2.18
9 H 0.5000 0.0000 0.2500  4 Zn 2.18
10 H 0.5000 0.0000 0.7500  4 Zn 2.18

---

According to the calculations, the structures order from most to least stable as P, Q.